Nd2Ir9Rh | PBE | relaxed

Its total DFT energy (no corrections) is -8.131 eV per atom. The formation energy comes out at -0.9 eV/f.u. Its total magnetic moment is 3.97 Bohr magnetons per cell.

It has space group R-3m (No. 166, hexagonal axes), with a = 5.2927 Å, b = 5.2927 Å, c = 26.5211 Å, α = 90.00°, β = 90.00° and γ = 120.00°. The inequivalent atoms are Nd at (0.0000, 0.0000, 0.1355), Ir at (0.0000, 0.0000, 0.3333), Ir at (0.0000, 0.0000, 0.5000), Ir at (0.0009, 0.5004, 0.0808) and Rh at (0.0000, 0.0000, 0.0000).